## MgMn2Br (PBE-GGA)

Data for crystalline MgMn2Br at its relaxed geometry.

Structure (POSCAR):
```
MgMn2Br
1.0
-3.354 0.679 -3.821
-2.915 0.152 2.586
0.455 3.863 0.287
Mn Br Mg
2 1 1
direct
0.000 0.500 0.500 Mn
0.000 0.000 0.000 Mn
0.500 0.500 0.000 Br
0.500 0.000 0.500 Mg
```

Density of states at the Fermi level: 2.05 states/eV per cell
Energy above the most stable polymorph in this dataset: 217.4 meV/atom
Formation energy from raw total energies: 42.45 kJ per mole of atoms
Crystal system: tetragonal
Space group: P4/mmm (123)
DFT total energy: -4.962 eV/atom
Total moment: 7.61 μB/cell


## SrGaP2Se8 (PBE-GGA)

Data for crystalline SrGaP2Se8 at its relaxed geometry.

Structure (POSCAR):
```
SrGaP2Se8
1.0
-1.759 -3.348 5.045
-2.754 -1.022 -5.579
6.347 -6.314 -1.976
Se P Ga Sr
8 2 1 1
direct
0.305 0.001 0.693 Se
0.304 0.305 0.307 Se
0.999 0.304 0.693 Se
0.333 0.667 0.991 Se
0.695 0.999 0.307 Se
0.696 0.695 0.693 Se
0.001 0.696 0.307 Se
0.667 0.333 0.009 Se
0.667 0.333 0.251 P
0.333 0.667 0.749 P
0.000 0.000 0.500 Ga
0.000 0.000 0.000 Sr
```

Density of states at the Fermi level: 9.97 states/eV per cell
Formation energy from raw total energies: -36.87 kJ per mole of atoms
Crystal system: trigonal
Space group: P-3 (147)
DFT total energy: -3.999 eV/atom
Total moment: 0.00 μB/cell


## Cr2FeSiI (PBE-GGA)

Data for crystalline Cr2FeSiI at its relaxed geometry.

Structure (POSCAR):
```
Cr2FeSiI
1.0
-2.580 1.851 -3.482
1.260 -3.193 -2.631
-3.697 -2.584 1.365
Cr I Fe Si
2 1 1 1
direct
0.500 0.000 0.000 Cr
0.000 0.000 0.500 Cr
0.500 0.500 0.500 I
0.000 0.000 0.000 Fe
0.000 0.500 0.000 Si
```

Density of states at the Fermi level: 5.41 states/eV per cell
Formation energy from raw total energies: 76.83 kJ per mole of atoms
Crystal system: tetragonal
Space group: P4/mmm (123)
DFT total energy: -6.140 eV/atom
Total moment: 5.94 μB/cell


## CeCoH6Pt (PBE-GGA)

Data for crystalline CeCoH6Pt at its relaxed geometry.

Structure (POSCAR):
```
CeCoH6Pt
1.0
-3.752 1.089 -2.474
-2.922 -3.319 -1.351
-2.186 0.488 3.530
H Co Pt Ce
6 1 1 1
direct
0.485 0.029 0.760 H
0.485 0.486 0.240 H
0.029 0.485 0.240 H
0.029 0.486 0.760 H
0.486 0.485 0.760 H
0.486 0.029 0.240 H
0.333 0.333 0.500 Co
0.667 0.667 0.500 Pt
0.000 0.000 0.000 Ce
```

Density of states at the Fermi level: 6.26 states/eV per cell
Crystal system: hexagonal
Space group: P-6m2 (187)
DFT total energy: -4.680 eV/atom
Total moment: 0.30 μB/cell


## CoTe2Rh (PBE-GGA)

Data for crystalline CoTe2Rh at its relaxed geometry.

Structure (POSCAR):
```
CoTe2Rh
1.0
-0.368 -4.103 -2.255
-1.471 -3.820 2.301
-4.238 -1.805 -0.914
Te Co Rh
2 1 1
direct
0.750 0.750 0.750 Te
0.250 0.250 0.250 Te
0.000 0.000 0.000 Co
0.500 0.500 0.500 Rh
```

Density of states at the Fermi level: 7.91 states/eV per cell
Formation energy from raw total energies: 20.91 kJ per mole of atoms
Crystal system: cubic
Space group: Fm-3m (225)
DFT total energy: -4.968 eV/atom
Total moment: 1.01 μB/cell


## TbCeNpO6 (PBE-GGA)

Data for crystalline TbCeNpO6 at its relaxed geometry.

Structure (POSCAR):
```
TbCeNpO6
1.0
-0.244 -5.036 -2.869
4.406 1.065 3.620
-4.980 -3.859 7.198
O Tb Ce Np
12 2 2 2
direct
0.668 0.024 0.366 O
0.024 0.668 0.866 O
0.644 0.668 0.634 O
0.976 0.644 0.366 O
0.356 0.024 0.134 O
0.356 0.332 0.366 O
0.332 0.976 0.634 O
0.668 0.644 0.134 O
0.976 0.332 0.134 O
0.024 0.356 0.634 O
0.644 0.976 0.866 O
0.332 0.356 0.866 O
0.667 0.333 0.750 Tb
0.333 0.667 0.250 Tb
0.000 0.000 0.500 Ce
0.000 0.000 0.000 Ce
0.667 0.333 0.250 Np
0.333 0.667 0.750 Np
```

Density of states at the Fermi level: 17.66 states/eV per cell
Formation energy from raw total energies: -307.51 kJ per mole of atoms
Crystal system: trigonal
Space group: P-31c (163)
DFT total energy: -9.104 eV/atom
Total moment: 4.00 μB/cell


## TiMnCr2Ge (PBE-GGA)

Data for crystalline TiMnCr2Ge at its relaxed geometry.

Structure (POSCAR):
```
TiMnCr2Ge
1.0
-2.783 1.229 -2.888
-0.022 -4.098 -1.723
-3.138 -1.065 2.571
Cr Mn Ti Ge
2 1 1 1
direct
0.500 0.000 0.000 Cr
0.000 0.000 0.500 Cr
0.000 0.000 0.000 Mn
0.000 0.500 0.000 Ti
0.500 0.500 0.500 Ge
```

Density of states at the Fermi level: 5.76 states/eV per cell
Crystal system: tetragonal
Space group: P4/mmm (123)
DFT total energy: -7.437 eV/atom
Energy of formation: 0.75 eV per atom
Total moment: 0.01 μB/cell


## LiGeB3 (PBE-GGA)

Data for crystalline LiGeB3 at its relaxed geometry.

Structure (POSCAR):
```
LiGeB3
1.0
-0.459 3.820 0.168
-3.688 -0.398 -1.034
-1.009 -0.284 3.706
B Ge Li
3 1 1
direct
0.000 0.500 0.000 B
0.000 0.000 0.500 B
0.500 0.000 0.000 B
0.500 0.500 0.500 Ge
0.000 0.000 0.000 Li
```

Density of states at the Fermi level: 1.93 states/eV per cell
Energy above the most stable polymorph in this dataset: 234.9 meV/atom
Crystal system: cubic
Space group: Pm-3m (221)
DFT total energy: -3.371 eV/atom
Energy of formation: 1.94 eV per atom
Total moment: 0.00 μB/cell


The lowest DFT total energy belongs to which entry?
TbCeNpO6


Which of these has the lowest density of states at the Fermi level?
LiGeB3